The following is a PBE-GGA calculation of a relaxed structure of Fe2NiRh4, from Alexandria via LeMat-Bulk.

Lattice parameters (Å, degrees): 4.820 4.820 4.685 90.06 90.06 117.21
Atoms (fractional coordinates):
1 Fe 0.001 0.001 0.256
2 Fe 0.999 0.999 0.744
3 Ni 0.500 0.500 0.000
4 Rh 0.000 0.500 0.000
5 Rh 0.331 0.669 0.500
6 Rh 0.500 0.000 0.000
7 Rh 0.669 0.331 0.500

## Properties
Energy relative to the elements in eV per atom: 0.167
SG: C2/m (12)
Theoretical density in g/cm3: 9.98

The following is a PBE-GGA calculation of a relaxed structure of CePm8Tm2, from Alexandria via LeMat-Bulk.

Lattice parameters (Å, degrees): 9.398 9.398 9.398 144.94 128.36 63.95
Atoms (fractional coordinates):
1 Ce 0.000 0.000 0.000
2 Pm 0.157 0.864 0.292
3 Pm 0.164 0.664 0.500
4 Pm 0.290 0.500 0.790
5 Pm 0.428 0.136 0.292
6 Pm 0.572 0.864 0.708
7 Pm 0.710 0.500 0.210
8 Pm 0.836 0.336 0.500
9 Pm 0.843 0.136 0.708
10 Tm 0.300 0.300 0.000
11 Tm 0.700 0.700 0.000

## Properties
Energy relative to the elements in eV per atom: 0.119
SG: Immm (71)
Theoretical density in g/cm3: 7.36

The following is a PBE-GGA calculation of a relaxed structure of NdScCu10, from Alexandria via LeMat-Bulk.

Lattice parameters (Å, degrees): 4.116 5.005 8.651 90.00 90.00 90.00
Atoms (fractional coordinates):
1 Nd 0.000 0.000 0.000
2 Sc 0.000 0.500 0.500
3 Cu 0.000 0.000 0.343
4 Cu 0.000 0.000 0.657
5 Cu 0.000 0.500 0.179
6 Cu 0.000 0.500 0.821
7 Cu 0.500 0.000 0.500
8 Cu 0.500 0.254 0.257
9 Cu 0.500 0.254 0.743
10 Cu 0.500 0.500 0.000
11 Cu 0.500 0.746 0.257
12 Cu 0.500 0.746 0.743

## Properties
Energy relative to the elements in eV per atom: -0.146
SG: Pmmm (47)
Theoretical density in g/cm3: 7.68

The following is a PBE-GGA calculation of a relaxed structure of ZnAuCl4, from Alexandria via LeMat-Bulk.

Lattice parameters (Å, degrees): 6.380 3.889 13.835 90.00 112.95 90.00
Atoms (fractional coordinates):
1 Zn 0.000 0.000 0.000
2 Zn 0.000 0.500 0.500
3 Au 0.500 0.000 0.500
4 Au 0.500 0.500 0.000
5 Cl 0.191 0.095 0.886
6 Cl 0.191 0.405 0.386
7 Cl 0.271 0.523 0.106
8 Cl 0.271 0.977 0.606
9 Cl 0.729 0.023 0.394
10 Cl 0.729 0.477 0.894
11 Cl 0.809 0.595 0.614
12 Cl 0.809 0.905 0.114

## Properties
Raw formation energy in eV per atom: -0.581
SG: P2_1/c (14)
Energy relative to the lowest polymorph listed for this composition in eV/f.u.: 0.000
Theoretical density in g/cm3: 4.25

The following is a PBE-GGA calculation of a relaxed structure of CeHg2Cl4, from Alexandria via LeMat-Bulk.

Lattice parameters (Å, degrees): 12.297 12.297 12.297 154.59 154.59 36.25
Atoms (fractional coordinates):
1 Ce 0.000 0.000 0.000
2 Hg 0.254 0.254 0.000
3 Hg 0.746 0.746 0.000
4 Cl 0.000 0.500 0.500
5 Cl 0.109 0.109 0.000
6 Cl 0.500 0.000 0.500
7 Cl 0.891 0.891 0.000

## Properties
Raw formation energy in eV per atom: -1.326
SG: I4/mmm (139)
Theoretical density in g/cm3: 3.32

The following is a PBE-GGA calculation of a relaxed structure of NbAg2Hg2, from Alexandria via LeMat-Bulk.

Lattice parameters (Å, degrees): 7.590 7.590 7.590 150.57 150.57 42.10
Atoms (fractional coordinates):
1 Nb 0.000 0.000 0.000
2 Ag 0.250 0.750 0.500
3 Ag 0.750 0.250 0.500
4 Hg 0.401 0.401 0.000
5 Hg 0.599 0.599 0.000

## Properties
Energy relative to the elements in eV per atom: 0.545
SG: I4/mmm (139)
Energy relative to the lowest polymorph listed for this composition in eV/f.u.: 0.538
Theoretical density in g/cm3: 11.20

The following is a PBE-GGA calculation of a relaxed structure of K2LaMn, from Alexandria via LeMat-Bulk.

Lattice parameters (Å, degrees): 7.115 7.115 7.115 144.75 122.41 69.35
Atoms (fractional coordinates):
1 K 0.000 0.000 0.000
2 K 0.681 0.181 0.500
3 La 0.323 0.823 0.500
4 Mn 0.422 0.422 0.000

## Properties
Energy relative to the elements in eV per atom: 0.719
SG: Imm2 (44)
Energy relative to the lowest polymorph listed for this composition in eV/f.u.: 1.121
Theoretical density in g/cm3: 2.61

The following is a PBE-GGA calculation of a relaxed structure of Sm6Ho8Er, from Alexandria via LeMat-Bulk.

Lattice parameters (Å, degrees): 8.652 8.652 8.652 63.13 63.13 63.13
Atoms (fractional coordinates):
1 Sm 0.039 0.606 0.727
2 Sm 0.273 0.961 0.394
3 Sm 0.394 0.273 0.961
4 Sm 0.606 0.727 0.039
5 Sm 0.727 0.039 0.606
6 Sm 0.961 0.394 0.273
7 Ho 0.077 0.077 0.077
8 Ho 0.220 0.611 0.246
9 Ho 0.246 0.220 0.611
10 Ho 0.389 0.754 0.780
11 Ho 0.611 0.246 0.220
12 Ho 0.754 0.780 0.389
13 Ho 0.780 0.389 0.754
14 Ho 0.923 0.923 0.923
15 Er 0.500 0.500 0.500

## Properties
Energy relative to the elements in eV per atom: 0.122
SG: R-3 (148)
Energy relative to the lowest polymorph listed for this composition in eV/f.u.: 0.000
Theoretical density in g/cm3: 8.10

The following is a PBE-GGA calculation of a relaxed structure of TiGeF2, from Alexandria via LeMat-Bulk.

Lattice parameters (Å, degrees): 7.908 7.908 7.908 152.15 152.15 39.80
Atoms (fractional coordinates):
1 Ti 0.000 0.000 0.000
2 Ti 0.750 0.250 0.500
3 Ge 0.250 0.750 0.500
4 Ge 0.500 0.500 0.000
5 F 0.063 0.625 0.938
6 F 0.375 0.313 0.438
7 F 0.687 0.125 0.062
8 F 0.875 0.937 0.562

## Properties
Raw formation energy in eV per atom: -1.610
SG: I-42d (122)
Energy relative to the lowest polymorph listed for this composition in eV/f.u.: 0.937
Theoretical density in g/cm3: 4.89

The following is a PBE-GGA calculation of a relaxed structure of Th2TcSn, from Alexandria via LeMat-Bulk.

Lattice parameters (Å, degrees): 6.471 3.973 8.975 90.00 109.04 90.00
Atoms (fractional coordinates):
1 Th 0.160 0.250 0.388
2 Th 0.260 0.750 0.040
3 Th 0.740 0.250 0.960
4 Th 0.840 0.750 0.612
5 Tc 0.115 0.250 0.799
6 Tc 0.885 0.750 0.201
7 Sn 0.375 0.750 0.700
8 Sn 0.625 0.250 0.300

## Properties
Energy relative to the elements in eV per atom: -0.365
SG: P2_1/m (11)
Energy relative to the lowest polymorph listed for this composition in eV/f.u.: 0.000
Theoretical density in g/cm3: 10.37

The following is a PBE-GGA calculation of a relaxed structure of Sm8Ru3Pt2, from Alexandria via LeMat-Bulk.

Lattice parameters (Å, degrees): 8.569 8.569 4.917 90.00 90.00 109.71
Atoms (fractional coordinates):
1 Sm 0.120 0.880 0.000
2 Sm 0.131 0.371 0.500
3 Sm 0.371 0.131 0.500
4 Sm 0.378 0.622 0.000
5 Sm 0.622 0.378 0.000
6 Sm 0.629 0.869 0.500
7 Sm 0.869 0.629 0.500
8 Sm 0.880 0.120 0.000
9 Ru 0.251 0.251 0.000
10 Ru 0.500 0.500 0.500
11 Ru 0.749 0.749 0.000
12 Pt 0.249 0.751 0.500
13 Pt 0.751 0.249 0.500

## Properties
Energy relative to the elements in eV per atom: -0.514
SG: Cmmm (65)
Theoretical density in g/cm3: 9.26

The following is a PBE-GGA calculation of a relaxed structure of ZrTi2Co3, from Alexandria via LeMat-Bulk.

Lattice parameters (Å, degrees): 5.177 5.177 3.983 90.00 90.00 120.00
Atoms (fractional coordinates):
1 Zr 0.000 0.000 0.000
2 Ti 0.333 0.667 0.500
3 Ti 0.667 0.333 0.500
4 Co 0.000 0.500 0.000
5 Co 0.500 0.000 0.000
6 Co 0.500 0.500 0.000

## Properties
Energy relative to the elements in eV per atom: -0.236
SG: P6/mmm (191)
Energy relative to the lowest polymorph listed for this composition in eV/f.u.: 0.759
Theoretical density in g/cm3: 6.53

The following is a PBE-GGA calculation of a relaxed structure of ZrMoSCl2, from Alexandria via LeMat-Bulk.

Lattice parameters (Å, degrees): 5.027 5.027 5.029 90.00 90.00 90.00
Atoms (fractional coordinates):
1 Zr 0.000 0.000 0.000
2 Mo 0.500 0.500 0.500
3 S 0.000 0.000 0.500
4 Cl 0.000 0.500 0.000
5 Cl 0.500 0.000 0.000

## Properties
Raw formation energy in eV per atom: -0.121
SG: P4/mmm (123)
Energy relative to the lowest polymorph listed for this composition in eV/f.u.: 0.000
Theoretical density in g/cm3: 3.79

The following is a PBE-GGA calculation of a relaxed structure of TbPrCd, from Alexandria via LeMat-Bulk.

Lattice parameters (Å, degrees): 5.255 5.255 5.255 120.14 120.14 89.75
Atoms (fractional coordinates):
1 Tb 0.000 0.000 0.000
2 Pr 0.500 0.500 0.000
3 Cd 0.750 0.250 0.500

## Properties
Energy relative to the elements in eV per atom: 0.090
SG: I-4m2 (119)
Energy relative to the lowest polymorph listed for this composition in eV/f.u.: 0.859
Theoretical density in g/cm3: 6.68

The following is a PBE-GGA calculation of a relaxed structure of CsCaFe2Cl8, from Alexandria via LeMat-Bulk.

Lattice parameters (Å, degrees): 6.578 6.578 10.247 96.44 96.44 68.51
Atoms (fractional coordinates):
1 Cs 0.000 0.000 0.000
2 Ca 0.000 0.000 0.500
3 Fe 0.390 0.390 0.708
4 Fe 0.610 0.610 0.292
5 Cl 0.238 0.734 0.298
6 Cl 0.255 0.255 0.521
7 Cl 0.266 0.762 0.702
8 Cl 0.316 0.316 0.898
9 Cl 0.684 0.684 0.102
10 Cl 0.734 0.238 0.298
11 Cl 0.745 0.745 0.479
12 Cl 0.762 0.266 0.702

## Properties
Raw formation energy in eV per atom: -1.400
SG: C2/m (12)
Theoretical density in g/cm3: 2.31

The following is a PBE-GGA calculation of a relaxed structure of BeGe2OsRu, from Alexandria via LeMat-Bulk.

Lattice parameters (Å, degrees): 4.356 4.356 3.909 90.00 90.00 90.00
Atoms (fractional coordinates):
1 Be 0.000 0.000 0.000
2 Ge 0.000 0.500 0.000
3 Ge 0.500 0.000 0.000
4 Os 0.500 0.500 0.500
5 Ru 0.000 0.000 0.500

## Properties
Energy relative to the elements in eV per atom: 0.905
SG: P4/mmm (123)
Theoretical density in g/cm3: 9.98

The following is a PBE-GGA calculation of a relaxed structure of Tm2Si4Tc3, from Alexandria via LeMat-Bulk.

Lattice parameters (Å, degrees): 6.748 6.754 6.712 90.00 109.99 90.00
Atoms (fractional coordinates):
1 Tm 0.192 0.168 0.058
2 Tm 0.192 0.332 0.558
3 Tm 0.808 0.668 0.442
4 Tm 0.808 0.832 0.942
5 Si 0.102 0.550 0.876
6 Si 0.102 0.950 0.376
7 Si 0.488 0.641 0.632
8 Si 0.488 0.859 0.132
9 Si 0.512 0.141 0.868
10 Si 0.512 0.359 0.368
11 Si 0.898 0.050 0.624
12 Si 0.898 0.450 0.124
13 Tc 0.237 0.650 0.258
14 Tc 0.237 0.850 0.758
15 Tc 0.500 0.000 0.500
16 Tc 0.500 0.500 0.000
17 Tc 0.763 0.150 0.242
18 Tc 0.763 0.350 0.742

## Properties
Raw formation energy in eV per atom: -0.757
SG: P2_1/c (14)
Energy relative to the lowest polymorph listed for this composition in eV/f.u.: 0.000
Theoretical density in g/cm3: 8.60